No. 1
Computed, not measured: a geometry-optimized TbErAu3 structure at the GGA-PBE level of DFT.

The space group is Cmcm (No. 63) and the conventional cell measures 5.325, 18.262 and 5.246 Å, with angles of 90.00, 90.00 and 90.00 degrees. The inequivalent atoms are Tb at (0.000, 0.064, 0.250), Er at (0.000, 0.350, 0.250), Au at (0.000, 0.500, 0.000) and Au at (0.247, 0.296, 0.750).

For the formation enthalpy at 0 K, the calculation gives -0.52 eV/atom.

---

No. 2
Computed, not measured: a geometry-optimized TaReSi structure at the GGA-PBE level of DFT.

The space group is P3m1 (No. 156) and the conventional cell measures 4.3359, 4.3359 and 2.8611 Å, with angles of 90.00, 90.00 and 120.00 degrees. The inequivalent atoms are Ta at (0.0000, 0.0000, 0.0000), Re at (0.6667, 0.3333, 0.4349) and Si at (0.3333, 0.6667, 0.4655).

The raw formation energy comes out at -0.23 eV per atom.

---

No. 3
Computed, not measured: a geometry-optimized TiSnRu3 structure at the GGA-PBE level of DFT.

The space group is Pm-3m (No. 221) and the conventional cell measures 4.599, 4.599 and 4.599 Å, with angles of 90.00, 90.00 and 90.00 degrees. The inequivalent atoms are Ti at (0.000, 0.000, 0.000), Sn at (0.500, 0.500, 0.500) and Ru at (0.000, 0.000, 0.500).

For the formation enthalpy at 0 K, the calculation gives 0.91 eV/atom. The value obtained for the energy above the most stable polymorph in this dataset is 0.000 eV per atom.